Model 1:
DFT (PBEsol) results for crystalline CdSb2Te at its relaxed geometry.

It has space group I4/mmm (No. 139), with a = 4.3125 Å, b = 4.3125 Å, c = 11.4182 Å, α = 90.00°, β = 90.00° and γ = 90.00°. The inequivalent atoms are Cd at (0.0000, 0.0000, 0.0000), Sb at (0.0000, 0.5000, 0.2500) and Te at (0.0000, 0.0000, 0.5000).

As for the size of the total moment: 0.0 μB/cell. The value obtained for the density of states at the Fermi level is 2.03 states/eV/f.u. For the calculated density, the calculation gives 7.6 g/cm3.

---

Model 2:
DFT (PBEsol) results for crystalline CdSb2Te at its relaxed geometry.

It has space group Cmmm (No. 65), with a = 3.9004 Å, b = 5.0159 Å, c = 10.4651 Å, α = 90.00°, β = 90.00° and γ = 90.00°. The inequivalent atoms are Cd at (0.0000, 0.0000, 0.0000), Sb at (0.0000, 0.5000, 0.2283) and Te at (0.0000, 0.0000, 0.5000).

As for the size of the total moment: 0.0 μB/cell. The value obtained for the density of states at the Fermi level is 2.47 states/eV/f.u. For the calculated density, the calculation gives 7.8 g/cm3.

---

Stability, highest: model 2

---

Model 1:
DFT (PBEsol) results for crystalline TlCdSb2 at its relaxed geometry.

It has space group R-3m (No. 166, hexagonal axes), with a = 3.3676 Å, b = 3.3676 Å, c = 32.0150 Å, α = 90.00°, β = 90.00° and γ = 120.00°. The inequivalent atoms are Tl at (0.0000, 0.0000, 0.0000), Cd at (0.0000, 0.0000, 0.5000) and Sb at (0.0000, 0.0000, 0.2421).

As for the size of the total moment: 0.0 μB/cell. The value obtained for the density of states at the Fermi level is 1.50 states/eV/f.u. For the calculated density, the calculation gives 8.9 g/cm3.

---

Model 2:
DFT (PBEsol) results for crystalline TlCdSb2 at its relaxed geometry.

It has space group P2/m (No. 10), with a = 5.5538 Å, b = 3.3279 Å, c = 5.8729 Å, α = 90.00°, β = 105.67° and γ = 90.00°. The inequivalent atoms are Tl at (0.0000, 0.0000, 0.0000), Cd at (0.5000, 0.5000, 0.0000), Sb at (0.0000, 0.5000, 0.5000) and Sb at (0.5000, 0.0000, 0.5000).

As for the size of the total moment: 0.0 μB/cell. The value obtained for the density of states at the Fermi level is 2.01 states/eV/f.u. For the calculated density, the calculation gives 8.9 g/cm3.

---

Stability, highest: model 1